! MnIn2GeO6 PBE+U optimized geometry; values from VASP
&SYSTEM
  ibrav = 0, nat = 10, ntyp = 4
/
ATOMIC_SPECIES
Mn 54.94 Mn.upf
In 114.82 In.upf
Ge 72.64 Ge.upf
O 16.00 O.upf
CELL_PARAMETERS angstrom
5.3848 0.0001 0.0002
2.6925 4.6634 0.0001
2.6923 1.5547 4.7694
ATOMIC_POSITIONS angstrom
Mn 8.0772 4.6636 2.7888
In 5.3848 3.1090 1.9599
In 2.6923 1.5547 4.4464
Ge 2.6924 1.5545 0.2001
O 4.3475 1.3835 1.1618
O 4.4092 4.8700 1.1618
O 7.3977 3.0734 1.1619
O 6.1809 4.3936 3.6800
O 6.0990 1.7774 3.6801
O 3.8743 3.1564 3.6799
! **E**: -6.3275 eV per atom
! **Crystal system**: trigonal
! **Space-group type**: R3
! **ρ**: 6.284 g/cm3